First-principles (PBE-GGA) data for an optimized crystal structure of Pm2Er2Pd15, as listed in Alexandria.

```
Pm2Er2Pd15
1.0
4.615 2.665 4.719
-4.615 2.665 4.719
0.000 -5.329 4.719
Pm Er Pd
2 2 15
Direct
0.139 0.139 0.139
0.861 0.861 0.861
0.392 0.392 0.392
0.608 0.608 0.608
0.000 0.500 0.500
0.150 0.150 0.658
0.150 0.658 0.150
0.195 0.500 0.805
0.195 0.805 0.500
0.342 0.850 0.850
0.500 0.000 0.500
0.500 0.195 0.805
0.500 0.500 0.000
0.500 0.805 0.195
0.658 0.150 0.150
0.805 0.195 0.500
0.805 0.500 0.195
0.850 0.342 0.850
0.850 0.850 0.342
```

Summary:
**Total moment**: 0.00 μB/f.u.
**Symmetry**: No. 166
**E_form**: -0.577 eV per atom
**Fermi-level density of states**: 16.985 states/eV/cell
**Crystal system**: trigonal

=====

First-principles (PBE-GGA) data for an optimized crystal structure of PmEr2Pd, as listed in Alexandria.

```
PmEr2Pd
1.0
3.555 0.000 0.000
0.000 3.555 0.000
0.000 0.000 8.522
Pm Er Pd
1 2 1
Direct
0.000 0.000 0.000
0.500 0.500 0.306
0.500 0.500 0.694
0.000 0.000 0.500
```

Summary:
**Total moment**: 0.00 μB/f.u.
**Symmetry**: No. 123
**E_form**: -0.434 eV per atom
**Fermi-level density of states**: 4.776 states/eV/cell
**Crystal system**: tetragonal